## La2NpP3 (GGA-PBE)

Data for an optimized crystal structure of La2NpP3.

abc: 4.1503 4.1503 10.2457
angles: 90.00 90.00 120.00
With the nearest neighbours (Å) after each atom.
Element x y z (fractional)
La 0.6667 0.3333 0.1705  6 P 2.97-3.03
La 0.3333 0.6667 0.8295  6 P 2.97-3.03
P 0.0000 0.0000 0.0000  6 La 2.97
P 0.6667 0.3333 0.6477  3 Np 2.83, 3 La 3.03
P 0.3333 0.6667 0.3523  3 Np 2.83, 3 La 3.03
Np 0.0000 0.0000 0.5000  6 P 2.83


## LaNp2P3 (GGA-PBE)

Data for an optimized crystal structure of LaNp2P3.

abc: 4.0502 4.0502 9.9466
angles: 90.00 90.00 120.00
With the nearest neighbours (Å) after each atom.
Element x y z (fractional)
La 0.0000 0.0000 0.5000  6 P 2.99
Np 0.3333 0.6667 0.8414  6 P 2.80-2.82
Np 0.6667 0.3333 0.1586  6 P 2.80-2.82
P 0.3333 0.6667 0.3134  3 Np 2.80, 3 La 2.99
P 0.6667 0.3333 0.6866  3 Np 2.80, 3 La 2.99
P 0.0000 0.0000 0.0000  6 Np 2.82


## LaNpPa (GGA-PBE)

Data for an optimized crystal structure of LaNpPa.

abc: 5.0084 5.0084 5.0084
angles: 60.00 60.00 60.00
With the nearest neighbours (Å) after each atom.
Element x y z (fractional)
La 0.2500 0.2500 0.2500  4 Pa 3.07
Np 0.7500 0.7500 0.7500  4 Pa 3.07
Pa 0.0000 0.0000 0.0000  4 Np 3.07, 4 La 3.07

Properties
* E_form: 104 kJ/mol of atoms


## LaNpPb (GGA-PBE)

Data for an optimized crystal structure of LaNpPb.

abc: 5.3698 5.3698 5.3698
angles: 60.00 60.00 60.00
With the nearest neighbours (Å) after each atom.
Element x y z (fractional)
Np 0.0000 0.0000 0.0000  4 Pb 3.29
La 0.5000 0.5000 0.5000  4 Pb 3.29
Pb 0.2500 0.2500 0.2500  4 La 3.29, 4 Np 3.29


## LaPmNp (GGA-PBE)

Data for an optimized crystal structure of LaPmNp.

abc: 5.1900 5.1900 5.1900
angles: 60.00 60.00 60.00
With the nearest neighbours (Å) after each atom.
Element x y z (fractional)
La 0.0000 0.0000 0.0000  4 Np 3.18, 4 Pm 3.18
Np 0.2500 0.2500 0.2500  4 La 3.18
Pm 0.7500 0.7500 0.7500  4 La 3.18

Properties
* E_form: 101 kJ/mol of atoms


## LaPrNp (GGA-PBE)

Data for an optimized crystal structure of LaPrNp.

abc: 5.2095 5.2095 5.2095
angles: 60.00 60.00 60.00
With the nearest neighbours (Å) after each atom.
Element x y z (fractional)
Np 0.2500 0.2500 0.2500  4 La 3.19
Pr 0.7500 0.7500 0.7500  4 La 3.19
La 0.0000 0.0000 0.0000  4 Np 3.19, 4 Pr 3.19

Properties
* E_form: 101 kJ/mol of atoms


## LaNpSn6 (GGA-PBE)

Data for an optimized crystal structure of LaNpSn6.

abc: 4.7449 4.7449 9.4246
angles: 90.00 90.00 90.00
With the nearest neighbours (Å) after each atom.
Element x y z (fractional)
Sn 0.0000 0.5000 0.2583  8 Sn 3.29-3.40, 2 Np 3.29, 2 La 3.40
Sn 0.0000 0.5000 0.7417  8 Sn 3.29-3.40, 2 Np 3.29, 2 La 3.40
Sn 0.5000 0.0000 0.2583  8 Sn 3.29-3.40, 2 Np 3.29, 2 La 3.40
Sn 0.5000 0.0000 0.7417  8 Sn 3.29-3.40, 2 Np 3.29, 2 La 3.40
Sn 0.5000 0.5000 0.5000  8 Sn 3.29, 4 Np 3.36
Sn 0.5000 0.5000 0.0000  4 La 3.36, 8 Sn 3.40
La 0.0000 0.0000 0.0000  12 Sn 3.36-3.40
Np 0.0000 0.0000 0.5000  12 Sn 3.29-3.36


## SrLaNp (GGA-PBE)

Data for an optimized crystal structure of SrLaNp.

abc: 5.5136 5.5136 5.5136
angles: 60.00 60.00 60.00
With the nearest neighbours (Å) after each atom.
Element x y z (fractional)
La 0.0000 0.0000 0.0000  4 Np 3.38, 4 Sr 3.38
Sr 0.7500 0.7500 0.7500  4 La 3.38
Np 0.2500 0.2500 0.2500  4 La 3.38


The evaluated electronic total energy for the records listed, in turn: -7.8146, -8.9183, -7.9860, -6.8341, -6.4322, -6.4405, -5.6030, -5.1969 eV/atom.